No. 1
# AsIrCl4 PBE-GGA relaxed
data_AsIrCl4
_cell_length_a 7.925
_cell_length_b 7.925
_cell_length_c 7.925
_cell_angle_alpha 90.00
_cell_angle_beta 90.00
_cell_angle_gamma 90.00
_space_group_name_H-M_alt 'F -4 3 m'
_space_group_IT_number 216
_space_group_name_Hall 'F -4 2 3'
loop_
_atom_site_label
_atom_site_type_symbol
_atom_site_fract_x
_atom_site_fract_y
_atom_site_fract_z
_atom_site_occupancy
As1 As 0.000 0.000 0.000 1
Ir1 Ir 0.250 0.250 0.250 1
Cl1 Cl 0.124 0.124 0.624 1
# Energy relative to the elements, uncorrected (meV/atom): 1462.6
# DFT total energy (hartree per atom): -0.074


No. 2
# Y4GaAsS2 PBE-GGA relaxed
data_Y4GaAsS2
_cell_length_a 7.038
_cell_length_b 3.976
_cell_length_c 7.057
_cell_angle_alpha 90.00
_cell_angle_beta 108.85
_cell_angle_gamma 90.00
_space_group_name_H-M_alt 'P 1 2/m 1'
_space_group_IT_number 10
loop_
_space_group_symop_operation_xyz
'x,y,z'
'-x,-y,-z'
'-x,y,-z'
'x,-y,z'
loop_
_atom_site_label
_atom_site_type_symbol
_atom_site_fract_x
_atom_site_fract_y
_atom_site_fract_z
_atom_site_occupancy
Y1 Y 0.246 0.000 0.243 1
Y2 Y 0.252 0.500 0.751 1
Ga1 Ga 0.500 0.500 0.500 1
As1 As 0.000 0.000 0.500 1
S1 S 0.000 0.500 0.000 1
S2 S 0.500 0.000 0.000 1
# Energy relative to the elements, uncorrected (meV/atom): -1529.4
# DFT total energy (hartree per atom): -0.248


No. 3
# La3Ga3Co2 PBE-GGA relaxed
data_La3Ga3Co2
_cell_length_a 3.910
_cell_length_b 11.511
_cell_length_c 15.720
_cell_angle_alpha 90.00
_cell_angle_beta 90.00
_cell_angle_gamma 90.00
_space_group_name_H-M_alt 'C m c m'
_space_group_IT_number 63
_space_group_name_Hall '-C 2c 2'
loop_
_atom_site_label
_atom_site_type_symbol
_atom_site_fract_x
_atom_site_fract_y
_atom_site_fract_z
_atom_site_occupancy
La1 La 0.000 0.061 0.102 1
La2 La 0.000 0.333 0.250 1
Ga1 Ga 0.000 0.330 0.038 1
Ga2 Ga 0.000 0.374 0.750 1
Co1 Co 0.000 0.243 0.616 1
# DFT total energy (hartree per atom): -0.192
# Energy relative to the elements (kJ/mol of formula units): -349


No. 4
# ZrGaAsBr2 PBE-GGA relaxed
data_ZrGaAsBr2
_cell_length_a 5.013
_cell_length_b 5.013
_cell_length_c 5.098
_cell_angle_alpha 90.00
_cell_angle_beta 90.00
_cell_angle_gamma 90.00
_space_group_name_H-M_alt 'P 4/m m m'
_space_group_IT_number 123
_space_group_name_Hall '-P 4 2'
loop_
_atom_site_label
_atom_site_type_symbol
_atom_site_fract_x
_atom_site_fract_y
_atom_site_fract_z
_atom_site_occupancy
Zr1 Zr 0.000 0.000 0.000 1
Ga1 Ga 0.500 0.500 0.500 1
As1 As 0.500 0.500 0.000 1
Br1 Br 0.000 0.500 0.500 1
# Distance to the lowest polymorph of the same formula (meV/atom): 712
# Energy relative to the elements, uncorrected (meV/atom): 272.4
# DFT total energy (hartree per atom): -0.134


No. 5
# Sm5DyTm3 PBE-GGA relaxed
data_Sm5DyTm3
_cell_length_a 15.128
_cell_length_b 11.582
_cell_length_c 9.840
_cell_angle_alpha 90.00
_cell_angle_beta 129.65
_cell_angle_gamma 90.00
_space_group_name_H-M_alt 'C 1 2/m 1'
_space_group_IT_number 12
loop_
_space_group_symop_operation_xyz
'x,y,z'
'-x,-y,-z'
'-x,y,-z'
'x,-y,z'
'x+1/2,y+1/2,z'
'-x+1/2,-y+1/2,-z'
'-x+1/2,y+1/2,-z'
'x+1/2,-y+1/2,z'
loop_
_atom_site_label
_atom_site_type_symbol
_atom_site_fract_x
_atom_site_fract_y
_atom_site_fract_z
_atom_site_occupancy
Sm1 Sm 0.000 0.245 0.000 1
Sm2 Sm 0.145 0.248 0.743 1
Sm3 Sm 0.224 0.500 0.045 1
Sm4 Sm 0.228 0.000 0.239 1
Dy1 Dy 0.247 0.000 0.593 1
Tm1 Tm 0.000 0.000 0.500 1
Tm2 Tm 0.000 0.500 0.000 1
Tm3 Tm 0.009 0.000 0.825 1
Tm4 Tm 0.016 0.500 0.354 1
# Distance to the lowest polymorph of the same formula (meV/atom): 310
# DFT total energy (hartree per atom): -0.152
# Energy relative to the elements (kJ/mol of formula units): 428


No. 6
# ZrAlAgPt PBE-GGA relaxed
data_ZrAlAgPt
_cell_length_a 6.550
_cell_length_b 6.550
_cell_length_c 6.550
_cell_angle_alpha 90.00
_cell_angle_beta 90.00
_cell_angle_gamma 90.00
_space_group_name_H-M_alt 'F -4 3 m'
_space_group_IT_number 216
_space_group_name_Hall 'F -4 2 3'
loop_
_atom_site_label
_atom_site_type_symbol
_atom_site_fract_x
_atom_site_fract_y
_atom_site_fract_z
_atom_site_occupancy
Zr1 Zr 0.000 0.000 0.000 1
Al1 Al 0.000 0.000 0.500 1
Ag1 Ag 0.250 0.250 0.250 1
Pt1 Pt 0.250 0.250 0.750 1
# DFT total energy (hartree per atom): -0.218
# Energy relative to the elements (kJ/mol of formula units): -245


No. 7
# ZnMoRu PBE-GGA relaxed
data_ZnMoRu
_cell_length_a 5.912
_cell_length_b 5.912
_cell_length_c 5.912
_cell_angle_alpha 90.00
_cell_angle_beta 90.00
_cell_angle_gamma 90.00
_space_group_name_H-M_alt 'F -4 3 m'
_space_group_IT_number 216
_space_group_name_Hall 'F -4 2 3'
loop_
_atom_site_label
_atom_site_type_symbol
_atom_site_fract_x
_atom_site_fract_y
_atom_site_fract_z
_atom_site_occupancy
Zn1 Zn 0.000 0.000 0.000 1
Mo1 Mo 0.000 0.000 0.500 1
Ru1 Ru 0.250 0.250 0.250 1
# Distance to the lowest polymorph of the same formula (meV/atom): 412
# DFT total energy (hartree per atom): -0.247
# Energy relative to the elements (kJ/mol of formula units): 115


No. 8
# RbCd10Pb PBE-GGA relaxed
data_RbCd10Pb
_cell_length_a 4.840
_cell_length_b 6.289
_cell_length_c 10.624
_cell_angle_alpha 90.00
_cell_angle_beta 90.00
_cell_angle_gamma 90.00
_space_group_name_H-M_alt 'P m m m'
_space_group_IT_number 47
loop_
_space_group_symop_operation_xyz
'x,y,z'
'-x,-y,-z'
'-x,-y,z'
'x,y,-z'
'x,-y,-z'
'-x,y,z'
'-x,y,-z'
'x,-y,z'
loop_
_atom_site_label
_atom_site_type_symbol
_atom_site_fract_x
_atom_site_fract_y
_atom_site_fract_z
_atom_site_occupancy
Rb1 Rb 0.000 0.000 0.000 1
Cd1 Cd 0.000 0.000 0.345 1
Cd2 Cd 0.000 0.500 0.178 1
Cd3 Cd 0.500 0.000 0.500 1
Cd4 Cd 0.500 0.251 0.254 1
Cd5 Cd 0.500 0.500 0.000 1
Pb1 Pb 0.000 0.500 0.500 1
# DFT total energy (hartree per atom): -0.042
# Energy relative to the elements (kJ/mol of formula units): 20


No. 9
# AcNp2Ir9 PBE-GGA relaxed
data_AcNp2Ir9
_cell_length_a 5.3602
_cell_length_b 5.3602
_cell_length_c 26.3144
_cell_angle_alpha 90.00
_cell_angle_beta 90.00
_cell_angle_gamma 120.00
_space_group_name_H-M_alt 'R -3 m'
_space_group_IT_number 166
_space_group_name_Hall '-R 3 2"'
loop_
_atom_site_label
_atom_site_type_symbol
_atom_site_fract_x
_atom_site_fract_y
_atom_site_fract_z
_atom_site_occupancy
Ac1 Ac 0.0000 0.0000 0.0000 1
Np1 Np 0.0000 0.0000 0.1408 1
Ir1 Ir 0.0000 0.0000 0.3333 1
Ir2 Ir 0.0000 0.0000 0.5000 1
Ir3 Ir 0.0033 0.5016 0.9154 1
# DFT total energy (hartree per atom): -0.349
# Energy relative to the elements (kJ/mol of formula units): -416


No. 10
# AcCoAs2 PBE-GGA relaxed
data_AcCoAs2
_cell_length_a 3.499
_cell_length_b 3.499
_cell_length_c 6.824
_cell_angle_alpha 90.00
_cell_angle_beta 90.00
_cell_angle_gamma 90.00
_space_group_name_H-M_alt 'P 4/m m m'
_space_group_IT_number 123
_space_group_name_Hall '-P 4 2'
loop_
_atom_site_label
_atom_site_type_symbol
_atom_site_fract_x
_atom_site_fract_y
_atom_site_fract_z
_atom_site_occupancy
Ac1 Ac 0.000 0.000 0.000 1
Co1 Co 0.000 0.000 0.500 1
As1 As 0.500 0.500 0.317 1
# Distance to the lowest polymorph of the same formula (meV/atom): 671
# DFT total energy (hartree per atom): -0.193
# Energy relative to the elements (kJ/mol of formula units): -43


No. 11
# SrCuP2S PBE-GGA relaxed
data_SrCuP2S
_cell_length_a 5.565
_cell_length_b 5.565
_cell_length_c 5.429
_cell_angle_alpha 90.00
_cell_angle_beta 90.00
_cell_angle_gamma 90.00
_space_group_name_H-M_alt 'P 4/m m m'
_space_group_IT_number 123
_space_group_name_Hall '-P 4 2'
loop_
_atom_site_label
_atom_site_type_symbol
_atom_site_fract_x
_atom_site_fract_y
_atom_site_fract_z
_atom_site_occupancy
Sr1 Sr 0.000 0.000 0.000 1
Cu1 Cu 0.500 0.500 0.500 1
P1 P 0.000 0.500 0.000 1
S1 S 0.000 0.000 0.500 1
# Distance to the lowest polymorph of the same formula (meV/atom): 1472
# Energy relative to the elements, uncorrected (meV/atom): 1329.8
# DFT total energy (hartree per atom): -0.103


No. 12
# Ba2TlZnNi PBE-GGA relaxed
data_Ba2TlZnNi
_cell_length_a 5.975
_cell_length_b 5.975
_cell_length_c 4.704
_cell_angle_alpha 90.00
_cell_angle_beta 90.00
_cell_angle_gamma 90.00
_space_group_name_H-M_alt 'P 4/m m m'
_space_group_IT_number 123
_space_group_name_Hall '-P 4 2'
loop_
_atom_site_label
_atom_site_type_symbol
_atom_site_fract_x
_atom_site_fract_y
_atom_site_fract_z
_atom_site_occupancy
Ba1 Ba 0.000 0.500 0.000 1
Tl1 Tl 0.000 0.000 0.500 1
Zn1 Zn 0.500 0.500 0.500 1
Ni1 Ni 0.500 0.500 0.000 1
# Distance to the lowest polymorph of the same formula (meV/atom): 0
# DFT total energy (hartree per atom): -0.102
# Energy relative to the elements (kJ/mol of formula units): -55


| no. | M_tot (μB per formula unit) |
| --- | --- |
| 1 | 0.54 |
| 2 | 0.00 |
| 3 | 0.00 |
| 4 | 1.39 |
| 5 | 0.00 |
| 6 | 0.00 |
| 7 | 0.00 |
| 8 | 0.00 |
| 9 | 5.48 |
| 10 | 1.59 |
| 11 | 1.17 |
| 12 | 0.00 |